Density functional theory data (PBE) for a relaxed Cs2Rb2I3 crystal.

Computed properties:
total energy	-2.397	eV per atom
uncorrected formation energy	-1.21	eV per atom

abc: 6.5393 6.4725 10.2349
angles: 71.90 71.38 90.00
Fractional positions:
I  0.0000  0.0000  0.0000
I  0.7469  0.7470  0.5064
I  0.2531  0.2530  0.4936
Rb  0.8725  0.3722  0.2548
Rb  0.1275  0.6278  0.7452
Cs  0.3752  0.8734  0.2499
Cs  0.6248  0.1266  0.7501



Density functional theory data (PBE) for a relaxed Cs3Rb2I5 crystal.

Computed properties:
total energy	-2.752	eV per atom
uncorrected formation energy	-1.53	eV per atom

abc: 5.4401 9.4257 12.1395
angles: 97.57 77.05 73.23
Fractional positions:
I  0.3851  0.4178  0.8119
I  0.0000  0.0000  0.0000
I  0.7943  0.8031  0.6083
I  0.6149  0.5822  0.1881
I  0.2057  0.1969  0.3917
Cs  0.0930  0.1110  0.7029
Cs  0.5000  0.5000  0.5000
Cs  0.9070  0.8890  0.2971
Rb  0.6949  0.7067  0.9035
Rb  0.3051  0.2933  0.0965



Density functional theory data (PBE) for a relaxed Cs6RbI8 crystal.

Computed properties:
total energy	-2.600	eV per atom
uncorrected formation energy	-1.37	eV per atom

abc: 7.7878 11.4730 11.4730
angles: 120.00 90.00 90.00
Each line ends with the local moment (μB).
Fractional positions:
I  0.2851  0.2901  0.2908  0.04
I  0.7149  0.9993  0.2901  0.04
I  0.0017  0.3333  0.6667  0.10
I  0.7149  0.2908  0.0007  0.04
I  0.7149  0.7099  0.7092  0.04
I  0.9983  0.6667  0.3333  0.10
I  0.2851  0.0007  0.7099  0.04
I  0.2851  0.7092  0.9993  0.04
Cs  0.2187  0.9990  0.3696  0.00
Cs  0.7813  0.0010  0.6304  0.00
Cs  0.2187  0.6304  0.6294  0.00
Cs  0.2187  0.3706  0.0010  0.00
Cs  0.7813  0.3696  0.3706  0.00
Cs  0.7813  0.6294  0.9990  0.00
Rb  0.5000  0.0000  0.0000  0.00



Density functional theory data (PBE) for a relaxed CsRb4I5 crystal.

Computed properties:
total energy	-2.756	eV per atom
uncorrected formation energy	-1.51	eV per atom

abc: 5.3311 5.3311 21.9659
angles: 83.03 83.03 60.00
Fractional positions:
I  0.7971  0.7971  0.6086
I  0.3985  0.3985  0.8046
I  0.0000  0.0000  0.0000
I  0.2029  0.2029  0.3914
I  0.6015  0.6015  0.1954
Cs  0.5000  0.5000  0.5000
Rb  0.3007  0.3007  0.0978
Rb  0.6993  0.6993  0.9022
Rb  0.0979  0.0979  0.7063
Rb  0.9021  0.9021  0.2937



Density functional theory data (PBE) for a relaxed CsRb2I2 crystal.

Computed properties:
total energy	-2.240	eV per atom
uncorrected formation energy	-1.06	eV per atom

abc: 6.7926 6.7926 8.9429
angles: 67.68 67.68 90.00
Fractional positions:
I  0.7500  0.2500  0.5000
I  0.2500  0.7500  0.5000
Rb  0.6673  0.6673  0.6653
Rb  0.3327  0.3327  0.3347
Cs  0.0000  0.0000  0.0000



Density functional theory data (PBE) for a relaxed Cs12Rb3I5 crystal.

Computed properties:
total energy	-1.712	eV per atom
uncorrected formation energy	-0.67	eV per atom

abc: 21.7776 21.7776 21.7776
angles: 109.47 109.47 109.47
Fractional positions:
I  0.1250  0.7500  0.3750
I  0.2500  0.3750  0.6250
I  0.8750  0.2500  0.6250
I  0.3750  0.2500  0.1250
I  0.7500  0.1250  0.8750
I  0.6250  0.7500  0.8750
I  0.0000  0.5000  0.0000
I  0.1250  0.3750  0.2500
I  0.3750  0.1250  0.7500
I  0.5000  0.0000  0.0000
I  0.5000  0.0000  0.5000
I  0.0000  0.5000  0.5000
I  0.8750  0.6250  0.7500
I  0.7500  0.6250  0.3750
I  0.5000  0.5000  0.5000
I  0.0000  0.0000  0.0000
I  0.0000  0.0000  0.5000
I  0.5000  0.5000  0.0000
I  0.6250  0.8750  0.2500
I  0.2500  0.8750  0.1250
Cs  0.1790  0.0872  0.6960
Cs  0.3040  0.4128  0.8210
Cs  0.8210  0.9083  0.0170
Cs  0.0170  0.6088  0.6960
Cs  0.6790  0.1960  0.5872
Cs  0.1088  0.4128  0.0917
Cs  0.8040  0.4830  0.3912
Cs  0.5170  0.1960  0.1088
Cs  0.8210  0.9128  0.3040
Cs  0.5872  0.8912  0.4083
Cs  0.3210  0.5170  0.4083
Cs  0.9830  0.3912  0.3040
Cs  0.1790  0.0917  0.9830
Cs  0.9128  0.0917  0.6088
Cs  0.3210  0.8040  0.4128
Cs  0.6960  0.1088  0.0170
Cs  0.4830  0.8040  0.8912
Cs  0.8912  0.5872  0.9083
Cs  0.3912  0.4083  0.0872
Cs  0.0170  0.4083  0.8210
Cs  0.4083  0.3912  0.5872
Cs  0.5170  0.3210  0.9083
Cs  0.4083  0.0170  0.3210
Cs  0.0872  0.9083  0.3912
Cs  0.6088  0.5917  0.9128
Cs  0.8912  0.3040  0.4830
Cs  0.5872  0.6960  0.6790
Cs  0.1960  0.5170  0.6088
Cs  0.8040  0.3210  0.9128
Cs  0.4830  0.6790  0.0917
Cs  0.9830  0.5917  0.1790
Cs  0.0917  0.1790  0.4830
Cs  0.1960  0.6790  0.0872
Cs  0.4128  0.3040  0.3210
Cs  0.0917  0.9128  0.1088
Cs  0.6088  0.0170  0.1960
Cs  0.1088  0.6960  0.5170
Cs  0.6790  0.4830  0.5917
Cs  0.6960  0.5872  0.1790
Cs  0.3040  0.8912  0.9830
Cs  0.9083  0.0872  0.8912
Cs  0.4128  0.1088  0.5917
Cs  0.5917  0.9830  0.6790
Cs  0.5917  0.6088  0.4128
Cs  0.3912  0.9830  0.8040
Cs  0.9083  0.8210  0.5170
Cs  0.0872  0.1790  0.1960
Cs  0.9128  0.8210  0.8040
Rb  0.2500  0.1250  0.3750
Rb  0.7500  0.3750  0.1250
Rb  0.7500  0.8750  0.6250
Rb  0.1250  0.8750  0.7500
Rb  0.8750  0.7500  0.1250
Rb  0.2500  0.6250  0.8750
Rb  0.6250  0.3750  0.7500
Rb  0.3750  0.7500  0.6250
Rb  0.1250  0.2500  0.8750
Rb  0.3750  0.6250  0.2500
Rb  0.6250  0.2500  0.3750
Rb  0.8750  0.1250  0.2500



Density functional theory data (PBE) for a relaxed CsRb2I3 crystal.

Computed properties:
total energy	-2.753	eV per atom
uncorrected formation energy	-1.51	eV per atom

abc: 5.3616 7.6075 9.3095
angles: 114.12 106.74 90.00
Fractional positions:
I  0.5000  0.0000  0.5000
I  0.1740  0.6740  0.8480
I  0.8260  0.3260  0.1520
Cs  0.5000  0.5000  0.5000
Rb  0.1657  0.1657  0.8314
Rb  0.8343  0.8343  0.1686



Density functional theory data (PBE) for a relaxed Cs3RbI4 crystal.

Computed properties:
total energy	-2.749	eV per atom
uncorrected formation energy	-1.53	eV per atom

abc: 7.7503 7.7503 7.7503
angles: 90.00 90.00 90.00
Fractional positions:
I  0.0000  0.0000  0.5000
I  0.5000  0.5000  0.5000
I  0.0000  0.5000  0.0000
I  0.5000  0.0000  0.0000
Rb  0.0000  0.0000  0.0000
Cs  0.0000  0.5000  0.5000
Cs  0.5000  0.0000  0.5000
Cs  0.5000  0.5000  0.0000



Density functional theory data (PBE) for a relaxed Cs2RbI3 crystal.

Computed properties:
total energy	-2.751	eV per atom
uncorrected formation energy	-1.53	eV per atom

abc: 5.4457 7.7216 9.4527
angles: 114.11 106.74 90.00
Fractional positions:
Cs  0.1684  0.1684  0.8368
Cs  0.8316  0.8316  0.1632
I  0.1588  0.6588  0.8176
I  0.5000  0.0000  0.5000
I  0.8412  0.3412  0.1824
Rb  0.5000  0.5000  0.5000



Density functional theory data (PBE) for a relaxed Cs2RbI4 crystal.

Computed properties:
total energy	-2.384	eV per atom
uncorrected formation energy	-1.12	eV per atom

abc: 6.8985 6.8985 10.8714
angles: 71.50 71.50 90.00
Each line ends with the local moment (μB).
Fractional positions:
I  0.1874  0.1874  0.6251  0.25
I  0.8126  0.8126  0.3749  0.25
I  0.5000  0.0000  0.0000  0.10
I  0.0000  0.5000  0.0000  0.10
Cs  0.6189  0.6189  0.7622  0.00
Cs  0.3811  0.3811  0.2378  0.00
Rb  0.0000  0.0000  0.0000  0.00



Density functional theory data (PBE) for a relaxed Cs2RbI crystal.

Computed properties:
total energy	-1.792	eV per atom
uncorrected formation energy	-0.74	eV per atom

abc: 5.3486 5.3486 13.8227
angles: 78.84 78.84 60.00
Fractional positions:
Cs  0.0591  0.0591  0.8226
Cs  0.2741  0.2741  0.1777
I  0.6665  0.6665  0.0005
Rb  0.5002  0.5002  0.4993



Density functional theory data (PBE) for a relaxed CsRb4I2 crystal.

Computed properties:
total energy	-1.579	eV per atom
uncorrected formation energy	-0.46	eV per atom

abc: 7.8518 7.8518 11.7417
angles: 70.47 70.47 90.00
Fractional positions:
I  0.4032  0.4032  0.1936
I  0.5968  0.5968  0.8064
Rb  0.0000  0.5000  0.0000
Rb  0.7633  0.7633  0.4734
Rb  0.5000  0.0000  0.0000
Rb  0.2367  0.2367  0.5266
Cs  0.0000  0.0000  0.0000



Density functional theory data (PBE) for a relaxed CsRb2I2 crystal.

Computed properties:
total energy	-2.183	eV per atom
uncorrected formation energy	-1.01	eV per atom

abc: 11.0841 11.0841 4.6164
angles: 90.00 90.00 90.00
Fractional positions:
Cs  0.5000  0.5000  0.0000
Cs  0.0000  0.0000  0.0000
Rb  0.6338  0.1338  0.0000
Rb  0.3662  0.8662  0.0000
Rb  0.1338  0.3662  0.0000
Rb  0.8662  0.6338  0.0000
I  0.6522  0.8478  0.5000
I  0.1522  0.6522  0.5000
I  0.3478  0.1522  0.5000
I  0.8478  0.3478  0.5000



Density functional theory data (PBE) for a relaxed Cs5RbI8 crystal.

Computed properties:
total energy	-2.485	eV per atom
uncorrected formation energy	-1.23	eV per atom

abc: 9.9547 9.9547 9.9547
angles: 107.87 107.87 112.71
Each line ends with the local moment (μB).
Fractional positions:
I  0.9627  0.7036  0.1045  0.16
I  0.6004  0.8595  0.4027  0.18
I  0.4568  0.1976  0.5973  0.18
I  0.5992  0.8582  0.8955  0.16
I  0.1405  0.5432  0.7409  0.18
I  0.1418  0.0373  0.7409  0.16
I  0.2964  0.4008  0.2591  0.16
I  0.8024  0.3996  0.2591  0.18
Cs  0.8794  0.2517  0.8772  0.00
Cs  0.9978  0.1206  0.3722  0.00
Cs  0.3745  0.0022  0.1228  0.00
Cs  0.5000  0.5000  0.0000  0.00
Cs  0.7483  0.6255  0.6278  0.00
Rb  0.2500  0.7500  0.5000  0.00



Density functional theory data (PBE) for a relaxed Cs2Rb2I crystal.

Computed properties:
total energy	-1.505	eV per atom
uncorrected formation energy	-0.47	eV per atom

abc: 10.0075 10.0075 8.8196
angles: 90.00 90.00 90.00
Fractional positions:
Rb  0.6722  0.1722  0.0000
Rb  0.3278  0.8278  0.0000
Rb  0.8278  0.6722  0.0000
Rb  0.1722  0.3278  0.0000
Cs  0.8263  0.3263  0.5000
Cs  0.6737  0.8263  0.5000
Cs  0.1737  0.6737  0.5000
Cs  0.3263  0.1737  0.5000
I  0.5000  0.5000  0.0000
I  0.0000  0.0000  0.0000



Density functional theory data (PBE) for a relaxed Cs4RbI4 crystal.

Computed properties:
total energy	-2.511	eV per atom
uncorrected formation energy	-1.33	eV per atom

abc: 7.8234 9.5041 9.4964
angles: 80.20 65.68 65.70
Fractional positions:
Cs  0.5972  0.6055  0.2001
Cs  0.7981  0.7994  0.6043
Cs  0.4028  0.3945  0.7999
Cs  0.2019  0.2006  0.3957
I  0.9029  0.3900  0.8041
I  0.0971  0.6100  0.1959
I  0.7070  0.1961  0.3900
I  0.2930  0.8039  0.6100
Rb  0.0000  0.0000  0.0000



Density functional theory data (PBE) for a relaxed CsRb2I2 crystal.

Computed properties:
total energy	-2.279	eV per atom
uncorrected formation energy	-1.10	eV per atom

abc: 10.3497 10.3497 5.2589
angles: 90.00 90.00 90.00
Fractional positions:
I  0.1517  0.3483  0.0000
I  0.3483  0.8483  0.0000
I  0.6517  0.1517  0.0000
I  0.8483  0.6517  0.0000
Rb  0.3497  0.1503  0.5000
Rb  0.1503  0.6503  0.5000
Rb  0.8497  0.3497  0.5000
Rb  0.6503  0.8497  0.5000
Cs  0.5000  0.5000  0.0000
Cs  0.0000  0.0000  0.0000



Density functional theory data (PBE) for a relaxed Cs6RbI crystal.

Computed properties:
total energy	-1.308	eV per atom
uncorrected formation energy	-0.35	eV per atom

abc: 9.4882 10.4045 18.7729
angles: 100.96 90.00 117.13
Fractional positions:
Cs  0.0134  0.8630  0.6110
Cs  0.1503  0.1370  0.8890
Cs  0.2777  0.7217  0.9659
Cs  0.5560  0.2783  0.5341
Cs  0.4440  0.7217  0.4659
Cs  0.1317  0.4362  0.6799
Cs  0.8497  0.8630  0.1110
Cs  0.3045  0.4362  0.1799
Cs  0.8683  0.5638  0.3201
Cs  0.6955  0.5638  0.8201
Cs  0.9866  0.1370  0.3890
Cs  0.7223  0.2783  0.0341
Rb  0.4107  0.0000  0.2500
Rb  0.5893  0.0000  0.7500
I  0.0000  0.5000  0.5000
I  0.5000  0.5000  0.0000



Density functional theory data (PBE) for a relaxed Cs2RbI7 crystal.

Computed properties:
total energy	-2.113	eV per atom
uncorrected formation energy	-0.76	eV per atom

abc: 9.0059 9.0059 9.8428
angles: 62.77 62.77 90.00
Fractional positions:
I  0.7723  0.2277  0.0000
I  0.2680  0.2680  0.4639
I  0.7723  0.7723  0.0000
I  0.7320  0.7320  0.5361
I  0.2277  0.7723  0.0000
I  0.2277  0.2277  0.0000
I  0.0000  0.0000  0.0000
Cs  0.7500  0.2500  0.5000
Cs  0.2500  0.7500  0.5000
Rb  0.5000  0.5000  0.0000



Density functional theory data (PBE) for a relaxed Cs2Rb2I crystal.

Computed properties:
total energy	-1.561	eV per atom
uncorrected formation energy	-0.52	eV per atom

abc: 6.7613 6.7613 18.5935
angles: 100.29 100.29 90.00
Fractional positions:
Rb  0.4219  0.9211  0.8453
Rb  0.0789  0.5781  0.1547
Rb  0.8281  0.8289  0.6547
Rb  0.1711  0.1719  0.3453
Cs  0.9432  0.4428  0.8881
Cs  0.3068  0.3072  0.6119
Cs  0.5572  0.0568  0.1119
Cs  0.6928  0.6932  0.3881
I  0.4985  0.5015  0.0000
I  0.7515  0.2485  0.5000